Below is a geometry-optimized Ho2ErI structure, with properties calculated at the PBE level.

Lattice parameters (Å, degrees): 3.614 3.614 9.417 90.00 90.00 90.00
Element x y z (fractional)
1 Ho 0.000 0.000 0.247
2 Ho 0.000 0.000 0.753
3 Er 0.500 0.500 0.500
4 I 0.500 0.500 0.000

Values from the calculation:
Fermi-level density of states ... 1.16 states/eV per atom
Total energy ... -16.33 eV per formula unit
Offset from the most stable computed form ... 88 meV/atom
Formation energy without anion corrections ... -26 kJ per mole of atoms
Space group ... No. 123
Calculated density ... 8.4 g cm⁻³

Below is a geometry-optimized HoEr2I structure, with properties calculated at the PBE level.

Lattice parameters (Å, degrees): 3.710 3.710 31.088 90.00 90.00 120.00
Element x y z (fractional)
1 Ho 0.000 0.000 0.000
2 Ho 0.333 0.667 0.667
3 Ho 0.667 0.333 0.333
4 Er 0.000 0.000 0.246
5 Er 0.000 0.000 0.754
6 Er 0.333 0.667 0.421
7 Er 0.333 0.667 0.913
8 Er 0.667 0.333 0.087
9 Er 0.667 0.333 0.579
10 I 0.000 0.000 0.500
11 I 0.333 0.667 0.167
12 I 0.667 0.333 0.833

Values from the calculation:
Fermi-level density of states ... 1.26 states/eV per atom
Total energy ... -16.53 eV per formula unit
Offset from the most stable computed form ... 29 meV/atom
Formation energy without anion corrections ... -31 kJ per mole of atoms
Space group ... No. 166
Calculated density ... 8.4 g cm⁻³

Below is a geometry-optimized HoErI3 structure, with properties calculated at the PBE level.

Lattice parameters (Å, degrees): 10.426 10.426 11.295 111.31 111.31 22.36
Element x y z (fractional)
1 Ho 0.073 0.073 0.240
2 Ho 0.927 0.927 0.760
3 Er 0.428 0.428 0.030
4 Er 0.572 0.572 0.970
5 I 0.075 0.075 0.759
6 I 0.189 0.189 0.134
7 I 0.363 0.363 0.547
8 I 0.637 0.637 0.453
9 I 0.811 0.811 0.866
10 I 0.925 0.925 0.241

Values from the calculation:
Total energy ... -19.23 eV per formula unit
Formation energy without anion corrections ... -105 kJ per mole of atoms
Space group ... No. 12
Calculated density ... 5.5 g cm⁻³

Below is a geometry-optimized HoEr2I structure, with properties calculated at the PBE level.

Lattice parameters (Å, degrees): 3.694 3.694 31.103 90.00 90.00 120.00
Element x y z (fractional)
1 Ho 0.000 0.000 0.000
2 Ho 0.333 0.667 0.667
3 Ho 0.667 0.333 0.333
4 Er 0.000 0.000 0.423
5 Er 0.000 0.000 0.578
6 Er 0.333 0.667 0.089
7 Er 0.333 0.667 0.245
8 Er 0.667 0.333 0.756
9 Er 0.667 0.333 0.912
10 I 0.000 0.000 0.167
11 I 0.333 0.667 0.834
12 I 0.667 0.333 0.501

Values from the calculation:
Fermi-level density of states ... 1.27 states/eV per atom
Total energy ... -16.64 eV per formula unit
Offset from the most stable computed form ... 0 meV/atom
Formation energy without anion corrections ... -34 kJ per mole of atoms
Space group ... No. 160
Calculated density ... 8.5 g cm⁻³

Below is a geometry-optimized Ho2ErI structure, with properties calculated at the PBE level.

Lattice parameters (Å, degrees): 3.703 3.703 31.154 90.00 90.00 120.00
Element x y z (fractional)
1 Ho 0.000 0.000 0.000
2 Ho 0.000 0.000 0.156
3 Ho 0.333 0.667 0.667
4 Ho 0.333 0.667 0.822
5 Ho 0.667 0.333 0.333
6 Ho 0.667 0.333 0.489
7 Er 0.000 0.000 0.578
8 Er 0.333 0.667 0.245
9 Er 0.667 0.333 0.912
10 I 0.000 0.000 0.411
11 I 0.333 0.667 0.078
12 I 0.667 0.333 0.744

Values from the calculation:
Fermi-level density of states ... 1.27 states/eV per atom
Total energy ... -16.69 eV per formula unit
Offset from the most stable computed form ... 0 meV/atom
Formation energy without anion corrections ... -34 kJ per mole of atoms
Space group ... No. 160
Calculated density ... 8.4 g cm⁻³

Below is a geometry-optimized HoErI structure, with properties calculated at the PBE level.

Lattice parameters (Å, degrees): 3.798 3.798 7.489 90.00 90.00 120.00
Element x y z (fractional)
1 Ho 0.000 0.000 0.000
2 Er 0.333 0.667 0.654
3 I 0.667 0.333 0.327

Values from the calculation:
Fermi-level density of states ... 1.31 states/eV per atom
Total energy ... -12.17 eV per formula unit
Offset from the most stable computed form ... 0 meV/atom
Formation energy without anion corrections ... -48 kJ per mole of atoms
Space group ... No. 156
Calculated density ... 8.2 g cm⁻³

Below is a geometry-optimized Ho2ErI structure, with properties calculated at the PBE level.

Lattice parameters (Å, degrees): 3.715 3.715 31.177 90.00 90.00 120.00
Element x y z (fractional)
1 Ho 0.000 0.000 0.246
2 Ho 0.000 0.000 0.754
3 Ho 0.333 0.667 0.421
4 Ho 0.333 0.667 0.913
5 Ho 0.667 0.333 0.087
6 Ho 0.667 0.333 0.579
7 Er 0.000 0.000 0.000
8 Er 0.333 0.667 0.667
9 Er 0.667 0.333 0.333
10 I 0.000 0.000 0.500
11 I 0.333 0.667 0.167
12 I 0.667 0.333 0.833

Values from the calculation:
Fermi-level density of states ... 1.22 states/eV per atom
Total energy ... -16.57 eV per formula unit
Offset from the most stable computed form ... 29 meV/atom
Formation energy without anion corrections ... -31 kJ per mole of atoms
Space group ... No. 166
Calculated density ... 8.3 g cm⁻³

Below is a geometry-optimized HoErI structure, with properties calculated at the PBE level.

Lattice parameters (Å, degrees): 3.663 3.663 13.744 90.00 90.00 90.00
Element x y z (fractional)
1 Ho 0.000 0.000 0.000
2 Ho 0.500 0.500 0.500
3 Er 0.000 0.000 0.334
4 Er 0.500 0.500 0.834
5 I 0.000 0.000 0.667
6 I 0.500 0.500 0.167

Values from the calculation:
Fermi-level density of states ... 1.17 states/eV per atom
Total energy ... -11.83 eV per formula unit
Offset from the most stable computed form ... 114 meV/atom
Formation energy without anion corrections ... -37 kJ per mole of atoms
Space group ... No. 107
Calculated density ... 8.3 g cm⁻³

Question: Which of these has the highest total energy?
Answer: number 8

Question: formation energy without anion corrections of number 6 (HoErI)?
Answer: -48 kJ per mole of atoms

Question: Look up the formation energy without anion corrections of the eighth one.
Answer: -37 kJ per mole of atoms